# 1
Entry from the Alexandria database: crystalline TaReAs2 at its relaxed geometry (GGA-PBE).

The structure belongs to space group I-42d (No. 122); the cell edges are 3.990, 3.990 and 17.804 Å and the angles 90.00°, 90.00° and 90.00°. The inequivalent atoms are Ta at (0.000, 0.000, 0.000), Re at (0.000, 0.000, 0.500) and As at (0.237, 0.250, 0.625).

The total energy is -128.36 eV for the cell shown. The crystal system is tetragonal. For the energy relative to the elements, the calculation gives 0.378 eV per atom. The mass density comes out at 12115 kg/m³. The volume is 17.7 Å³ per atom.


# 2
Entry from the Alexandria database: crystalline DyScO3 at its relaxed geometry (GGA-PBE).

The structure belongs to space group R-3 (No. 148, hexagonal axes); the cell edges are 5.5783, 5.5783 and 14.8173 Å and the angles 90.00°, 90.00° and 120.00°. The inequivalent atoms are Dy at (0.0000, 0.0000, 0.1375), Sc at (0.0000, 0.0000, 0.3523) and O at (0.0210, 0.7155, 0.2529).

Its uncorrected formation energy is -3512 meV/atom. The total energy is -260.22 eV for the cell shown. The crystal system is trigonal. The mass density comes out at 6374 kg/m³. The volume is 13.3 Å³ per atom.


# 3
Entry from the Alexandria database: crystalline Sr2CeNiS5 at its relaxed geometry (GGA-PBE).

The structure belongs to space group Cmc2_1 (No. 36); the cell edges are 4.028, 17.421 and 12.296 Å and the angles 90.00°, 90.00° and 90.00°. The inequivalent atoms are Sr at (0.000, 0.114, 0.000), Sr at (0.000, 0.118, 0.350), Ce at (0.000, 0.195, 0.683), Ni at (0.000, 0.438, 0.080), S at (0.000, 0.038, 0.651), S at (0.000, 0.303, 0.334), S at (0.000, 0.311, 0.030), S at (0.000, 0.348, 0.674) and S at (0.000, 0.500, 0.422).

Its uncorrected formation energy is -1566 meV/atom. The total energy is -199.25 eV for the cell shown. The crystal system is orthorhombic. The mass density comes out at 4114 kg/m³. The volume is 24.0 Å³ per atom.


# 4
Entry from the Alexandria database: crystalline Nd2Al4Pt3Rh at its relaxed geometry (GGA-PBE).

The structure belongs to space group P-4m2 (No. 115); the cell edges are 4.284, 4.284 and 10.355 Å and the angles 90.00°, 90.00° and 90.00°. The inequivalent atoms are Nd at (0.000, 0.500, 0.248), Al at (0.000, 0.000, 0.500), Al at (0.000, 0.500, 0.875), Al at (0.500, 0.500, 0.500), Pt at (0.000, 0.000, 0.000), Pt at (0.000, 0.500, 0.633) and Rh at (0.500, 0.500, 0.000).

The total energy is -60.88 eV for the cell shown. The crystal system is tetragonal. For the energy relative to the elements, the calculation gives -1.090 eV per atom. The mass density comes out at 9479 kg/m³. The volume is 19.0 Å³ per atom.